(1)
The following is a DFT calculation (PBE) of a relaxed Pm3Cu7Si4 crystal.

Lattice parameters (Å, degrees): 15.2555 4.1475 9.0774 90.00 126.03 90.00
Closest atoms and distances in Å follow each position.
Space group C2/m (No. 12)
Inequivalent atoms, fractional coordinates:
1 Pm 0.0000 0.0000 0.0000 (multiplicity 2)  6 Cu 2.98-3.27, 6 Si 2.99-3.08
2 Pm 0.1936 0.5000 0.6948 (multiplicity 4)  10 Cu 2.98-3.21, 4 Si 2.99-3.01
3 Cu 0.0000 0.0000 0.5000 (multiplicity 2)  2 Si 2.45
4 Cu 0.0027 0.5000 0.7133 (multiplicity 4)  3 Si 2.44-2.57, 1 Cu 2.49
5 Cu 0.1454 0.0000 0.8812 (multiplicity 4)  3 Si 2.42-2.59
6 Cu 0.1721 0.5000 0.3212 (multiplicity 4)  4 Si 2.49-2.64, 1 Cu 2.49
7 Si 0.1201 0.0000 0.4043 (multiplicity 4)  6 Cu 2.45-2.64
8 Si 0.1598 0.5000 0.0315 (multiplicity 4)  5 Cu 2.42-2.59

Values from the calculation:
ΔE_f (raw): -438 meV per atom
magnetic moment: 0.0 μB/f.u.
final energy: -141.490 eV/cell


(2)
The following is a DFT calculation (PBE) of a relaxed Pm3Cu3Si8 crystal.

Lattice parameters (Å, degrees): 3.8202 8.9076 14.8693 90.00 90.00 90.00
Closest atoms and distances in Å follow each position.
Space group Immm (No. 71)
Inequivalent atoms, fractional coordinates:
1 Pm 0.0000 0.0000 0.0000 (multiplicity 2)  12 Si 3.12-3.13, 4 Cu 3.22
2 Pm 0.0000 0.0000 0.2879 (multiplicity 4)  10 Si 3.02-3.36
3 Cu 0.0000 0.2086 0.5000 (multiplicity 4)  6 Si 2.51-2.53, 2 Cu 2.66
4 Cu 0.0000 0.5000 0.0000 (multiplicity 2)  4 Si 2.44, 4 Cu 2.66
5 Si 0.0000 0.2978 0.1112 (multiplicity 8)  2 Si 2.41, 3 Cu 2.44-2.53
6 Si 0.0000 0.3594 0.3575 (multiplicity 8)  3 Si 2.41-2.51, 1 Cu 2.51

Values from the calculation:
ΔE_f (raw): -316 meV per atom
magnetic moment: 0.0 μB/f.u.
final energy: -148.697 eV/cell


(3)
The following is a DFT calculation (PBE) of a relaxed PmCu3Si crystal.

Lattice parameters (Å, degrees): 4.9122 8.5123 8.2312 90.00 90.00 90.00
Closest atoms and distances in Å follow each position.
Space group Imma (No. 74)
Inequivalent atoms, fractional coordinates:
1 Pm 0.0000 0.2500 0.0393 (multiplicity 4)  7 Cu 2.95-3.12, 4 Si 3.27
2 Cu 0.0000 0.2500 0.6597 (multiplicity 4)  4 Cu 2.50, 2 Si 2.50
3 Cu 0.2500 0.0100 0.7500 (multiplicity 8)  2 Si 2.40, 4 Cu 2.46-2.50
4 Si 0.0000 0.0000 0.5000 (multiplicity 4)  6 Cu 2.40-2.50

Values from the calculation:
ΔE_f (raw): -275 meV per atom
magnetic moment: 0.0 μB/f.u.
final energy: -95.357 eV/cell


(4)
The following is a DFT calculation (PBE) of a relaxed Pm2Cu5Si3 crystal.

Lattice parameters (Å, degrees): 11.3528 11.6400 5.8199 90.00 120.69 90.00
Closest atoms and distances in Å follow each position.
Space group C2/c (No. 15)
Inequivalent atoms, fractional coordinates:
1 Pm 0.2455 0.1257 0.2461 (multiplicity 8)  6 Si 3.10-3.17, 10 Cu 3.11-3.23
2 Cu 0.0000 0.2605 0.2500 (multiplicity 4)  2 Si 2.37, 2 Cu 2.50
3 Cu 0.0000 0.2612 0.7500 (multiplicity 4)  2 Si 2.37, 2 Cu 2.50
4 Cu 0.0000 0.5005 0.2500 (multiplicity 4)  4 Si 2.44-2.45
5 Cu 0.1253 0.1214 0.6261 (multiplicity 8)  3 Si 2.34-2.37, 2 Cu 2.50
6 Si 0.0000 0.0004 0.2500 (multiplicity 4)  4 Cu 2.37
7 Si 0.1352 0.3750 0.1356 (multiplicity 8)  5 Cu 2.34-2.45

Values from the calculation:
ΔE_f (raw): -475 meV per atom
magnetic moment: 0.0 μB/f.u.
final energy: -204.019 eV/cell


(5)
The following is a DFT calculation (PBE) of a relaxed PmCu3Si2 crystal.

Lattice parameters (Å, degrees): 14.8056 3.9682 7.1807 90.00 114.90 90.00
Closest atoms and distances in Å follow each position.
Space group C2/m (No. 12)
Inequivalent atoms, fractional coordinates:
1 Pm 0.1514 0.0000 0.0721 (multiplicity 4)  7 Si 3.03-3.12, 8 Cu 3.21-3.40
2 Cu 0.0352 0.0000 0.3684 (multiplicity 4)  3 Si 2.37-2.41, 1 Cu 2.51
3 Cu 0.0962 0.5000 0.6780 (multiplicity 4)  3 Si 2.36-2.41, 1 Cu 2.50
4 Cu 0.1845 0.5000 0.4477 (multiplicity 4)  4 Si 2.40-2.56, 3 Cu 2.50-2.65
5 Si 0.0197 0.5000 0.1761 (multiplicity 4)  1 Si 2.34, 4 Cu 2.36-2.40
6 Si 0.1885 0.0000 0.6767 (multiplicity 4)  6 Cu 2.40-2.56

Values from the calculation:
ΔE_f (raw): -447 meV per atom
magnetic moment: 0.0 μB/f.u.
final energy: -122.267 eV/cell


(6)
The following is a DFT calculation (PBE) of a relaxed Pm2Cu5Si3 crystal.

Lattice parameters (Å, degrees): 4.0873 4.0873 10.0343 90.00 90.00 90.00
Closest atoms and distances in Å follow each position.
Space group P-4m2 (No. 115)
Inequivalent atoms, fractional coordinates:
1 Pm 0.0000 0.5000 0.2454 (multiplicity 2)  10 Cu 3.09-3.27, 6 Si 3.13-3.27
2 Cu 0.0000 0.0000 0.0000 (multiplicity 1)  4 Cu 2.46
3 Cu 0.0000 0.0000 0.5000 (multiplicity 1)  4 Si 2.46
4 Cu 0.0000 0.5000 0.8644 (multiplicity 2)  1 Si 2.29, 4 Cu 2.46
5 Cu 0.5000 0.5000 0.0000 (multiplicity 1)  4 Cu 2.46
6 Si 0.0000 0.5000 0.6360 (multiplicity 2)  3 Cu 2.29-2.46, 2 Si 2.46
7 Si 0.5000 0.5000 0.5000 (multiplicity 1)  4 Si 2.46

Values from the calculation:
ΔE_f (raw): -276 meV per atom
magnetic moment: 0.0 μB/f.u.
final energy: -49.012 eV/cell


(7)
The following is a DFT calculation (PBE) of a relaxed Pm8CuSi2 crystal.

Lattice parameters (Å, degrees): 19.0584 4.8468 6.8873 90.00 104.06 90.00
Closest atoms and distances in Å follow each position.
Space group C2/m (No. 12)
Inequivalent atoms, fractional coordinates:
1 Pm 0.0230 0.0000 0.2849 (multiplicity 4)  2 Cu 2.93, 1 Si 3.11
2 Pm 0.0953 0.5000 0.9800 (multiplicity 4)  2 Si 3.24, 1 Cu 3.36, 4 Pm 3.44-3.55
3 Pm 0.1591 0.5000 0.4917 (multiplicity 4)  1 Cu 3.05, 3 Si 3.05-3.13, 2 Pm 3.33
4 Pm 0.2144 0.0000 0.8265 (multiplicity 4)  3 Si 3.10-3.24, 4 Pm 3.33-3.44
5 Cu 0.0000 0.5000 0.5000 (multiplicity 2)  6 Pm 2.93-3.05
6 Si 0.1820 0.0000 0.2457 (multiplicity 4)  9 Pm 3.05-3.24

Values from the calculation:
ΔE_f (raw): -254 meV per atom
magnetic moment: 0.0 μB/f.u.
final energy: -111.492 eV/cell


(8)
The following is a DFT calculation (PBE) of a relaxed Pm2Cu6Si3 crystal.

Lattice parameters (Å, degrees): 7.2441 7.2441 4.0131 90.00 90.00 120.00
Closest atoms and distances in Å follow each position.
Space group P-62m (No. 189)
Inequivalent atoms, fractional coordinates:
1 Pm 0.3333 0.6667 0.0000 (multiplicity 2)  9 Cu 3.04-3.25, 6 Si 3.06
2 Cu 0.0000 0.1957 0.0000 (multiplicity 3)  2 Si 2.35, 2 Cu 2.46
3 Cu 0.0000 0.7021 0.5000 (multiplicity 3)  3 Si 2.43-2.45
4 Si 0.0000 0.3637 0.5000 (multiplicity 3)  5 Cu 2.35-2.45

Values from the calculation:
ΔE_f (raw): -369 meV per atom
magnetic moment: 0.0 μB/f.u.
final energy: -54.402 eV/cell


(9)
The following is a DFT calculation (PBE) of a relaxed PmCu12Si6 crystal.

Lattice parameters (Å, degrees): 10.4962 10.4962 8.4901 90.00 90.00 120.00
Closest atoms and distances in Å follow each position.
Space group R-3m (No. 166, hexagonal axes)
Inequivalent atoms, fractional coordinates:
1 Pm 0.0000 0.0000 0.0000 (multiplicity 3)  6 Cu 3.06
2 Cu 0.0000 0.3854 0.5000 (multiplicity 18)  4 Si 2.34-2.47, 3 Cu 2.41-2.56
3 Cu 0.0859 0.1717 0.3105 (multiplicity 18)  3 Si 2.42-2.54, 4 Cu 2.56-2.70
4 Si 0.0496 0.5248 0.2515 (multiplicity 18)  7 Cu 2.34-2.54

Values from the calculation:
ΔE_f (raw): -9 meV per atom
magnetic moment: 0.0 μB/f.u.
final energy: -259.817 eV/cell


(10)
The following is a DFT calculation (PBE) of a relaxed Pm2Cu3Si2 crystal.

Lattice parameters (Å, degrees): 10.4265 4.1144 6.4594 90.00 113.19 90.00
Closest atoms and distances in Å follow each position.
Space group C2/m (No. 12)
Inequivalent atoms, fractional coordinates:
1 Pm 0.1510 0.0000 0.2582 (multiplicity 4)  5 Cu 2.91-3.19, 4 Si 3.00-3.15
2 Cu 0.0000 0.5000 0.5000 (multiplicity 2)  2 Cu 2.47, 4 Si 2.63
3 Cu 0.1028 0.5000 0.9168 (multiplicity 4)  3 Si 2.46-2.75, 2 Cu 2.47-2.75
4 Si 0.1376 0.0000 0.7361 (multiplicity 4)  5 Cu 2.46-2.75

Values from the calculation:
ΔE_f (raw): -436 meV per atom
magnetic moment: 0.0 μB/f.u.
final energy: -71.374 eV/cell


(11)
The following is a DFT calculation (PBE) of a relaxed Pm3Cu4Si2 crystal.

Lattice parameters (Å, degrees): 10.6848 4.2008 8.3585 90.00 106.81 90.00
Closest atoms and distances in Å follow each position.
Space group C2/m (No. 12)
Inequivalent atoms, fractional coordinates:
1 Pm 0.0000 0.0000 0.0000 (multiplicity 2)  8 Cu 3.06-3.21, 4 Si 3.10
2 Pm 0.1655 0.5000 0.6647 (multiplicity 4)  8 Cu 3.10-3.19, 4 Si 3.10-3.13
3 Cu 0.0573 0.0000 0.3864 (multiplicity 4)  2 Si 2.41, 1 Cu 2.54
4 Cu 0.2168 0.5000 0.0597 (multiplicity 4)  1 Si 2.43, 2 Cu 2.51
5 Si 0.1087 0.5000 0.2791 (multiplicity 4)  3 Cu 2.41-2.43

Values from the calculation:
ΔE_f (raw): -467 meV per atom
magnetic moment: 0.0 μB/f.u.
final energy: -91.370 eV/cell


(12)
The following is a DFT calculation (PBE) of a relaxed PmCu4Si4 crystal.

Lattice parameters (Å, degrees): 5.8493 5.8493 8.1454 90.00 90.00 90.00
Closest atoms and distances in Å follow each position.
Space group P4_2/nmc (No. 137, origin choice 2)
Inequivalent atoms, fractional coordinates:
1 Pm 0.2500 0.7500 0.2500 (multiplicity 2)  4 Si 3.02, 8 Cu 3.33
2 Cu 0.0103 0.2500 0.1547 (multiplicity 8)  5 Si 2.40-2.49, 2 Cu 2.65
3 Si 0.0488 0.2500 0.4477 (multiplicity 8)  1 Si 2.35, 5 Cu 2.40-2.49

Values from the calculation:
ΔE_f (raw): -166 meV per atom
magnetic moment: 0.0 μB/f.u.
final energy: -88.642 eV/cell